(1)
Compound: Mg2ScAg2
Source: the Alexandria database
Functional: GGA-PBE
Structure: optimized geometry

abc: 4.7675 4.7675 5.5268
angles: 90.00 90.00 120.00
Last column: nearest neighbours and their distance in Å.
Atoms (fractional coordinates):
1 Mg 0.3333 0.6667 0.1404  5 Ag 2.75-3.00
2 Mg 0.6667 0.3333 0.8596  5 Ag 2.75-3.00
3 Sc 0.0000 0.0000 0.5000  6 Ag 2.86
4 Ag 0.3333 0.6667 0.6426  5 Mg 2.75-3.00, 3 Sc 2.86
5 Ag 0.6667 0.3333 0.3574  5 Mg 2.75-3.00, 3 Sc 2.86

uncorrected energy = -15.932 eV/f.u.
DOS(E_F) = 0.6284 states/eV per atom
size of the total moment = 0.0 μB per cell
energy above the lowest structure with this stoichiometry = 0.023 eV/atom

---

(2)
Compound: Mg7Sc4Ag
Source: the Alexandria database
Functional: GGA-PBE
Structure: optimized geometry

abc: 5.9763 5.9763 11.3390
angles: 112.99 112.99 51.87
Last column: nearest neighbours and their distance in Å.
Atoms (fractional coordinates):
1 Mg 0.0000 0.0000 0.0000  2 Ag 2.61, 2 Mg 2.90
2 Mg 0.2226 0.2226 0.9204  1 Ag 2.71, 2 Mg 2.89-2.90, 2 Sc 3.01
3 Mg 0.2890 0.2890 0.6991  2 Mg 2.89-2.93, 1 Ag 3.17
4 Mg 0.3580 0.3580 0.4757  2 Mg 2.86-2.93, 4 Sc 2.98-3.12
5 Mg 0.6420 0.6420 0.5243  2 Mg 2.86-2.93, 4 Sc 2.98-3.12
6 Mg 0.7110 0.7110 0.3009  2 Mg 2.89-2.93, 1 Ag 3.17
7 Mg 0.7774 0.7774 0.0796  1 Ag 2.71, 2 Mg 2.89-2.90, 2 Sc 3.01
8 Sc 0.0373 0.0373 0.3690  5 Mg 3.08-3.26, 3 Sc 3.18-3.40
9 Sc 0.3778 0.3778 0.2213  5 Mg 2.98-3.29, 2 Sc 3.18, 1 Ag 3.30
10 Sc 0.6222 0.6222 0.7787  5 Mg 2.98-3.29, 2 Sc 3.18, 1 Ag 3.30
11 Sc 0.9627 0.9627 0.6310  5 Mg 3.08-3.26, 3 Sc 3.18-3.40
12 Ag 0.5000 0.5000 0.0000  4 Mg 2.61-2.71

uncorrected energy = -37.806 eV/f.u.
DOS(E_F) = 0.9825 states/eV per atom
size of the total moment = 0.0 μB per cell

---

(3)
Compound: MgSc8Ag2
Source: the Alexandria database
Functional: GGA-PBE
Structure: optimized geometry

abc: 7.8597 7.8597 7.8373
angles: 119.12 119.12 36.84
Last column: nearest neighbours and their distance in Å.
Atoms (fractional coordinates):
1 Mg 0.0000 0.0000 0.0000  8 Sc 2.96-3.15
2 Sc 0.0966 0.0966 0.4642  3 Ag 3.01-3.05, 1 Mg 3.15, 4 Sc 3.20-3.32
3 Sc 0.1836 0.1836 0.9487  1 Ag 2.89, 1 Mg 2.96, 4 Sc 3.02-3.04
4 Sc 0.3574 0.3574 0.8067  3 Ag 2.95-3.02, 2 Mg 3.11, 2 Sc 3.24-3.30
5 Sc 0.4368 0.4368 0.2768  1 Ag 2.91, 6 Sc 3.00-3.24
6 Sc 0.5632 0.5632 0.7232  1 Ag 2.91, 6 Sc 3.00-3.24
7 Sc 0.6426 0.6426 0.1933  3 Ag 2.95-3.02, 2 Mg 3.11, 2 Sc 3.24-3.30
8 Sc 0.8164 0.8164 0.0513  1 Ag 2.89, 1 Mg 2.96, 4 Sc 3.02-3.04
9 Sc 0.9034 0.9034 0.5358  3 Ag 3.01-3.05, 1 Mg 3.15, 4 Sc 3.20-3.32
10 Ag 0.2727 0.2727 0.3739  8 Sc 2.89-3.05
11 Ag 0.7273 0.7273 0.6261  8 Sc 2.89-3.05

uncorrected energy = -58.668 eV/f.u.
DOS(E_F) = 1.5811 states/eV per atom
size of the total moment = 0.0 μB per cell

---

(4)
Compound: Mg6Sc3Ag2
Source: the Alexandria database
Functional: GGA-PBE
Structure: optimized geometry

abc: 4.1218 4.1218 15.0026
angles: 97.88 97.88 90.04
Last column: nearest neighbours and their distance in Å.
Atoms (fractional coordinates):
1 Mg 0.1036 0.1036 0.7058  5 Sc 3.03-3.21, 4 Mg 3.05-3.06
2 Mg 0.1809 0.6808 0.8589  6 Mg 2.91-3.06, 4 Ag 2.91-2.94
3 Mg 0.3192 0.8191 0.1411  6 Mg 2.91-3.06, 4 Ag 2.91-2.94
4 Mg 0.6808 0.1809 0.8589  6 Mg 2.91-3.06, 4 Ag 2.91-2.94
5 Mg 0.8191 0.3192 0.1411  6 Mg 2.91-3.06, 4 Ag 2.91-2.94
6 Mg 0.8964 0.8964 0.2942  5 Sc 3.03-3.21, 4 Mg 3.05-3.06
7 Sc 0.0000 0.0000 0.5000  2 Mg 3.03, 8 Sc 3.37
8 Sc 0.4426 0.4426 0.3854  4 Mg 3.20-3.21, 5 Sc 3.37
9 Sc 0.5574 0.5574 0.6146  4 Mg 3.20-3.21, 5 Sc 3.37
10 Ag 0.2496 0.2496 0.9993  4 Ag 2.91-2.92, 8 Mg 2.91-2.94
11 Ag 0.7504 0.7504 0.0007  4 Ag 2.91-2.92, 8 Mg 2.91-2.94

uncorrected energy = -33.851 eV/f.u.
DOS(E_F) = 0.8359 states/eV per atom
size of the total moment = 0.0 μB per cell

---

(5)
Compound: Mg5Sc5Ag2
Source: the Alexandria database
Functional: GGA-PBE
Structure: optimized geometry

abc: 4.9921 4.9921 12.9423
angles: 101.51 101.51 60.04
Last column: nearest neighbours and their distance in Å.
Atoms (fractional coordinates):
1 Mg 0.0000 0.0000 0.0000  6 Sc 3.02
2 Mg 0.1927 0.1927 0.5780  6 Sc 3.04-3.25, 1 Mg 3.07, 3 Ag 3.33-3.36
3 Mg 0.2731 0.2731 0.8219  1 Mg 3.07, 7 Sc 3.14-3.30, 3 Ag 3.18-3.20
4 Mg 0.7269 0.7269 0.1781  1 Mg 3.07, 7 Sc 3.14-3.30, 3 Ag 3.18-3.20
5 Mg 0.8073 0.8073 0.4220  6 Sc 3.04-3.25, 1 Mg 3.07, 3 Ag 3.33-3.36
6 Sc 0.1023 0.1023 0.3051  3 Ag 2.89, 2 Mg 3.23
7 Sc 0.3579 0.3579 0.0713  1 Ag 2.71, 3 Mg 3.02
8 Sc 0.5000 0.5000 0.5000  2 Ag 2.69
9 Sc 0.6421 0.6421 0.9287  1 Ag 2.71, 3 Mg 3.02
10 Sc 0.8977 0.8977 0.6949  3 Ag 2.89, 2 Mg 3.23
11 Ag 0.4295 0.4295 0.2865  5 Sc 2.69-2.89
12 Ag 0.5705 0.5705 0.7135  5 Sc 2.69-2.89

uncorrected energy = -45.876 eV/f.u.
DOS(E_F) = 1.0782 states/eV per atom
size of the total moment = 0.0 μB per cell

---

(6)
Compound: Mg2Sc3Ag3
Source: the Alexandria database
Functional: GGA-PBE
Structure: optimized geometry

abc: 10.3403 10.3403 10.3403
angles: 161.13 152.27 33.76
Last column: nearest neighbours and their distance in Å.
Atoms (fractional coordinates):
1 Mg 0.2369 0.2369 0.0000  2 Ag 2.84, 4 Mg 3.05
2 Mg 0.7631 0.7631 0.0000  2 Ag 2.84, 4 Mg 3.05
3 Sc 0.0000 0.0000 0.0000  8 Ag 2.95-3.00
4 Sc 0.3785 0.8785 0.5000  6 Ag 2.94-3.00, 2 Mg 3.27
5 Sc 0.6215 0.1215 0.5000  6 Ag 2.94-3.00, 2 Mg 3.27
6 Ag 0.1220 0.6220 0.5000  2 Mg 2.84, 6 Sc 2.95-3.00
7 Ag 0.5000 0.5000 0.0000  8 Sc 2.94-3.00
8 Ag 0.8780 0.3780 0.5000  2 Mg 2.84, 6 Sc 2.95-3.00

uncorrected energy = -32.285 eV/f.u.
DOS(E_F) = 0.7371 states/eV per atom
size of the total moment = 0.0 μB per cell

---

(7)
Compound: Mg2ScAg8
Source: the Alexandria database
Functional: GGA-PBE
Structure: optimized geometry

abc: 7.6997 7.6997 6.7104
angles: 107.03 107.03 31.97
Last column: nearest neighbours and their distance in Å.
Atoms (fractional coordinates):
1 Mg 0.2242 0.2242 0.1506  10 Ag 2.86-2.97, 2 Mg 3.18
2 Mg 0.7758 0.7758 0.8494  10 Ag 2.86-2.97, 2 Mg 3.18
3 Sc 0.5000 0.5000 0.5000  12 Ag 2.92-2.99
4 Ag 0.0429 0.0429 0.2274  1 Mg 2.88, 9 Ag 2.92-3.04, 2 Sc 2.99
5 Ag 0.1396 0.1396 0.6908  3 Mg 2.90-2.96, 7 Ag 2.92-3.02, 2 Sc 2.97
6 Ag 0.3191 0.3191 0.5904  3 Mg 2.86-2.93, 8 Ag 2.91-3.02, 1 Sc 2.92
7 Ag 0.4046 0.4046 0.0429  3 Mg 2.88-2.97, 8 Ag 2.91-3.05, 1 Sc 2.96
8 Ag 0.5954 0.5954 0.9571  3 Mg 2.88-2.97, 8 Ag 2.91-3.05, 1 Sc 2.96
9 Ag 0.6809 0.6809 0.4096  3 Mg 2.86-2.93, 8 Ag 2.91-3.02, 1 Sc 2.92
10 Ag 0.8604 0.8604 0.3092  3 Mg 2.90-2.96, 7 Ag 2.92-3.02, 2 Sc 2.97
11 Ag 0.9571 0.9571 0.7726  1 Mg 2.88, 9 Ag 2.92-3.04, 2 Sc 2.99

uncorrected energy = -34.139 eV/f.u.
DOS(E_F) = 0.3673 states/eV per atom
size of the total moment = 0.0 μB per cell

---

(8)
Compound: MgScAg2
Source: the Alexandria database
Functional: GGA-PBE
Structure: optimized geometry

abc: 3.5251 3.5251 6.4098
angles: 90.00 90.00 90.00
Last column: nearest neighbours and their distance in Å.
Atoms (fractional coordinates):
1 Mg 0.0000 0.0000 0.0000  5 Ag 2.83-2.98
2 Sc 0.5000 0.5000 0.3136  5 Ag 2.87-3.07, 4 Mg 3.20
3 Ag 0.0000 0.0000 0.5357  4 Sc 2.87, 1 Mg 2.98, 4 Ag 2.99
4 Ag 0.5000 0.5000 0.7925  4 Mg 2.83, 4 Ag 2.99, 1 Sc 3.07

uncorrected energy = -14.257 eV/f.u.
DOS(E_F) = 0.6794 states/eV per atom
size of the total moment = 0.0 μB per cell

---

(9)
Compound: Mg2ScAg2
Source: the Alexandria database
Functional: GGA-PBE
Structure: optimized geometry

abc: 7.9819 7.9819 3.1748
angles: 90.00 90.00 90.00
Last column: nearest neighbours and their distance in Å.
Atoms (fractional coordinates):
1 Mg 0.1601 0.3399 0.0000  6 Ag 2.79-2.86
2 Mg 0.3399 0.8399 0.0000  6 Ag 2.79-2.86
3 Mg 0.6601 0.1601 0.0000  6 Ag 2.79-2.86
4 Mg 0.8399 0.6601 0.0000  6 Ag 2.79-2.86
5 Sc 0.0000 0.0000 0.5000  4 Ag 3.10, 2 Sc 3.17, 8 Mg 3.39
6 Sc 0.5000 0.5000 0.5000  4 Ag 3.10, 2 Sc 3.17, 8 Mg 3.39
7 Ag 0.1366 0.6366 0.5000  6 Mg 2.79-2.86, 1 Ag 3.08, 2 Sc 3.10
8 Ag 0.3634 0.1366 0.5000  6 Mg 2.79-2.86, 1 Ag 3.08, 2 Sc 3.10
9 Ag 0.6366 0.8634 0.5000  6 Mg 2.79-2.86, 1 Ag 3.08, 2 Sc 3.10
10 Ag 0.8634 0.3634 0.5000  6 Mg 2.79-2.86, 1 Ag 3.08, 2 Sc 3.10

uncorrected energy = -15.901 eV/f.u.
DOS(E_F) = 0.7448 states/eV per atom
size of the total moment = 0.9 μB per cell
energy above the lowest structure with this stoichiometry = 0.029 eV/atom

---

(10)
Compound: MgSc4Ag5
Source: the Alexandria database
Functional: GGA-PBE
Structure: optimized geometry

abc: 3.4014 3.4014 17.2229
angles: 90.00 90.00 90.00
Last column: nearest neighbours and their distance in Å.
Atoms (fractional coordinates):
1 Mg 0.0000 0.0000 0.0000  8 Ag 2.92
2 Sc 0.0000 0.0000 0.1961  8 Ag 2.95-2.97
3 Sc 0.0000 0.0000 0.3987  8 Ag 2.97-2.98
4 Sc 0.0000 0.0000 0.6013  8 Ag 2.97-2.98
5 Sc 0.0000 0.0000 0.8039  8 Ag 2.95-2.97
6 Ag 0.5000 0.5000 0.0965  4 Mg 2.92, 4 Sc 2.95
7 Ag 0.5000 0.5000 0.2971  8 Sc 2.97-2.98
8 Ag 0.5000 0.5000 0.5000  8 Sc 2.97
9 Ag 0.5000 0.5000 0.7029  8 Sc 2.97-2.98
10 Ag 0.5000 0.5000 0.9035  4 Mg 2.92, 4 Sc 2.95

uncorrected energy = -43.874 eV/f.u.
DOS(E_F) = 0.5918 states/eV per atom
size of the total moment = 0.0 μB per cell

---

(11)
Compound: MgScAg2
Source: the Alexandria database
Functional: GGA-PBE
Structure: optimized geometry

abc: 3.3954 3.3981 6.7552
angles: 90.00 90.09 90.00
Last column: nearest neighbours and their distance in Å.
Atoms (fractional coordinates):
1 Mg 0.0000 0.0000 0.0000  8 Ag 2.93
2 Sc 0.0000 0.0000 0.5000  8 Ag 2.94-2.95
3 Ag 0.4992 0.5000 0.7525  4 Mg 2.93, 4 Sc 2.94-2.95
4 Ag 0.5008 0.5000 0.2475  4 Mg 2.93, 4 Sc 2.94-2.95

uncorrected energy = -14.675 eV/f.u.
DOS(E_F) = 0.5772 states/eV per atom
size of the total moment = 0.0 μB per cell

---

(12)
Compound: Mg2ScAg2
Source: the Alexandria database
Functional: GGA-PBE
Structure: optimized geometry

abc: 7.0789 7.0789 7.0789
angles: 146.82 146.82 47.63
Last column: nearest neighbours and their distance in Å.
Atoms (fractional coordinates):
1 Mg 0.2500 0.7500 0.5000  4 Ag 2.78, 4 Mg 2.86
2 Mg 0.7500 0.2500 0.5000  4 Ag 2.78, 4 Mg 2.86
3 Sc 0.0000 0.0000 0.0000  8 Ag 3.15
4 Ag 0.3971 0.3971 0.0000  1 Ag 2.67, 4 Mg 2.78
5 Ag 0.6029 0.6029 0.0000  1 Ag 2.67, 4 Mg 2.78

uncorrected energy = -15.587 eV/f.u.
DOS(E_F) = 0.7030 states/eV per atom
size of the total moment = 0.0 μB per cell
energy above the lowest structure with this stoichiometry = 0.092 eV/atom